VASP calculation (PBE with a Hubbard U) on a geometry-optimized Ni5Se4Cl2O12 structure.

Output
Its size of the total moment is 19.936 μB per cell. The energy comes out at -223.42 eV per cell.

a = 8.1819 Å, b = 9.4397 Å, c = 9.5346 Å
α = 101.97°, β = 105.81°, γ = 91.96°
Closest atoms and distances in Å follow each position.
Space group P-1 (No. 2)
Asymmetric unit:
1 Ni 0.0347 0.3859 0.3695 x2  6 O 2.05-2.14
2 Ni 0.0864 0.0112 0.6775 x2  5 O 2.03-2.17
3 Ni 0.2361 0.3081 0.0580 x2  4 O 2.05-2.09
4 Ni 0.2584 0.3937 0.6956 x2  5 O 2.05-2.29
5 Ni 0.4212 0.7595 0.7741 x2  5 O 2.02-2.12
6 Se 0.1583 0.6064 0.9303 x2  3 O 1.72-1.79
7 Se 0.1755 0.7365 0.4064 x2  3 O 1.68-1.82
8 Se 0.2841 0.1859 0.3892 x2  3 O 1.74-1.76
9 Se 0.4472 0.1184 0.8272 x2  3 O 1.73-1.75
10 Cl 0.0150 0.1331 0.8970 x2  2 Ni 2.36-2.40
11 Cl 0.4451 0.5204 0.2220 x2  2 Ni 2.39-2.53
12 O 0.0121 0.6134 0.4281 x2  1 Se 1.82
13 O 0.0593 0.4084 0.1571 x2  1 Se 1.74
14 O 0.0628 0.1644 0.3204 x2  1 Se 1.74
15 O 0.1067 0.9050 0.4659 x2  1 Se 1.74
16 O 0.1972 0.4262 0.8958 x2  1 Se 1.72
17 O 0.2126 0.6329 0.7677 x2  1 Se 1.79
18 O 0.2821 0.1791 0.7005 x2  1 Se 1.75
19 O 0.2834 0.3677 0.4800 x2  1 Se 1.76
20 O 0.3266 0.9573 0.8109 x2  1 Se 1.74
21 O 0.3345 0.1965 0.2258 x2  1 Se 1.74
22 O 0.3471 0.7286 0.5491 x2  1 Se 1.68
23 O 0.4478 0.2268 0.9974 x2  1 Se 1.73